(1)
4
Lattice="-0.6280 -1.7522 -3.0232 3.4377 -0.9049 -0.1896 -1.2119 -5.2999 3.3235" Properties=species:S:1:pos:R:3 comment="Li2ScIn (GGA-PBE, relaxed)" formation_enthalpy_0k_mev_per_atom=-81 pbc="T T T"
In 0.4960 -5.3035 0.8863
Li -1.1847 -5.1809 3.2489
Sc 1.1019 -2.6536 -0.7755
Li -0.6331 -2.7689 1.7364

(2)
4
Lattice="-1.3229 -4.7640 -6.5461 -0.5955 -6.6552 -4.7593 -3.1581 -5.8060 -4.8595" Properties=species:S:1:pos:R:3 comment="Co2SiAg (GGA-PBE, relaxed)" raw_formation_energy_ev_per_atom=0.024 pbc="T T T"
Co -5.0121 -17.0066 -15.9597
Si -1.2691 -4.3063 -4.0412
Ag -3.8074 -12.9189 -12.1236
Co -2.6027 -8.8312 -8.2876

(3)
4
Lattice="-0.5018 1.3698 3.6797 -3.6408 0.2822 1.5275 -0.7076 -7.5191 4.8315" Properties=species:S:1:pos:R:3 comment="Ce2HgAu (GGA-PBE, relaxed)" relative_energy_mev_per_atom=141 formation_enthalpy_0k_mev_per_atom=-298 pbc="T T T"
Hg -2.4251 -2.9336 5.0193
Ce -3.6241 -4.5626 7.5912
Ce -1.2261 -1.3045 2.4474
Au 0.0000 0.0000 0.0000

(4)
4
Lattice="5.0599 0.0000 0.0000 2.5299 4.3820 0.0000 2.5299 1.4607 4.1314" Properties=species:S:1:pos:R:3 comment="NaCaPdPb (GGA-PBE, relaxed)" formation_enthalpy_0k_mev_per_atom=-388 pbc="T T T"
Na 0.0000 0.0000 0.0000
Pd 5.0599 2.9213 2.0657
Ca 2.5299 1.4607 1.0328
Pb 7.5898 4.3820 3.0985

(5)
12
Lattice="4.1877 0.0000 0.0000 0.0000 5.3280 0.0000 0.0000 0.0000 7.9877" Properties=species:S:1:pos:R:3 comment="SiMo2 (GGA-PBE, relaxed)" relative_energy_mev_per_atom=192 raw_formation_energy_ev_per_atom=-0.135 pbc="T T T"
Si 1.0469 3.7480 3.1063
Mo 1.0469 0.4178 6.2323
Mo 1.0469 3.7130 0.5008
Mo 3.1408 2.2462 2.2385
Mo 3.1408 1.6151 7.4869
Mo 1.0469 1.0489 3.4930
Si 3.1408 4.2441 7.1001
Mo 3.1408 4.9102 1.7554
Si 3.1408 1.5801 4.8814
Mo 3.1408 4.2791 4.4947
Mo 1.0469 3.0818 5.7492
Si 1.0469 1.0839 0.8876

(6)
30
Lattice="-4.5323 12.5194 1.8912 2.2219 -13.2555 -0.4559 4.4676 0.4929 7.4439" Properties=species:S:1:pos:R:3 comment="Na10B17C3 (GGA-PBE, relaxed)" relative_energy_mev_per_atom=10 formation_enthalpy_0k_mev_per_atom=215 pbc="T T T"
Na 1.7503 -2.7261 4.1851
B 2.8710 -11.3468 1.5677
Na -0.4625 -2.9702 0.4981
B -2.4851 9.0927 3.4289
B -1.2045 4.2056 2.9839
B 0.6504 5.8979 6.8375
B -2.9256 10.7735 3.5820
B 4.6378 -9.3187 5.4519
Na 5.3328 -7.5880 7.4581
C 1.0906 -4.5528 2.1863
B -1.6249 5.8099 3.1300
B 0.1926 -1.1260 2.4984
B 2.4489 -9.7362 1.7143
B 2.4178 -0.8468 6.2233
C 1.0535 4.3594 6.6974
Na -0.9306 7.6110 5.1714
Na 1.2699 7.8538 8.8378
B 1.4855 -6.0596 2.0491
Na -1.8336 2.2244 0.9552
Na -4.5234 12.5069 1.8992
Na -2.3006 12.7521 5.6028
Na 0.3984 2.4706 4.6742
B 3.7564 -5.9550 5.7582
B -0.6710 10.9403 7.2967
B 3.3112 -4.2561 5.9129
B 1.9938 0.7713 6.3707
B 5.0843 -11.0223 5.2967
Na 3.1004 -7.8343 3.7384
B -0.2359 0.5092 2.6473
C -0.2777 9.4396 7.1600

(7)
10
Lattice="-0.0844 -2.1507 -2.4189 2.1569 -1.8416 1.5621 -13.7245 -8.9318 8.4203" Properties=species:S:1:pos:R:3 comment="PrSc5Ir4 (GGA-PBE, relaxed)" formation_enthalpy_0k_mev_per_atom=-815 pbc="T T T"
Pr 0.0000 0.0000 0.0000
Ir -3.1976 -2.0809 1.9618
Sc -1.0174 -3.3326 0.8316
Ir -5.6475 -3.6753 3.4649
Sc -3.4042 -4.8860 2.2960
Sc -8.2478 -8.0381 5.2676
Ir -10.5270 -6.8508 6.4585
Sc -5.8260 -6.4620 3.7818
Sc -10.6346 -9.5914 6.7320
Ir -8.0770 -5.2564 4.9555

(8)
6
Lattice="3.9587 0.0000 0.0000 0.0000 3.9587 0.0000 0.0000 0.0000 5.7470" Properties=species:S:1:pos:R:3 comment="PrMn2Al2C (GGA-PBE, relaxed)" formation_enthalpy_0k_mev_per_atom=-285 pbc="T T T"
Pr 0.0000 0.0000 2.8735
C 0.0000 0.0000 0.0000
Al 1.9793 1.9793 4.2472
Mn 0.0000 1.9793 0.0000
Al 1.9793 1.9793 1.4998
Mn 1.9793 0.0000 0.0000

(9)
7
Lattice="3.7650 0.0000 0.0000 0.0000 3.7650 0.0000 -1.8825 -1.8825 6.3966" Properties=species:S:1:pos:R:3 comment="LiPaNbN4 (GGA-PBE, relaxed)" raw_formation_energy_ev_per_atom=-0.778 pbc="T T T"
Pa 0.0000 0.0000 4.5646
Nb 0.0000 0.0000 0.3871
Li 1.8825 1.8825 2.1906
N 1.8825 0.0000 6.0244
N 0.0000 1.8825 6.0244
N 1.8825 1.8825 4.0877
N 0.0000 0.0000 2.3074

(10)
5
Lattice="6.2935 0.0000 0.0000 0.0000 6.2935 0.0000 0.0000 0.0000 4.0225" Properties=species:S:1:pos:R:3 comment="HgTeI2N (GGA-PBE, relaxed)" relative_energy_mev_per_atom=0 raw_formation_energy_ev_per_atom=0.622 pbc="T T T"
N 0.0000 0.0000 2.0113
Hg 3.1467 3.1467 2.0113
Te 0.0000 0.0000 0.0000
I 0.0000 3.1467 0.0000
I 3.1467 0.0000 0.0000

(11)
4
Lattice="-2.0036 1.3038 3.4335 0.7094 -2.6074 3.1941 2.5546 1.9360 -2.6887" Properties=species:S:1:pos:R:3 comment="Be2SiNi (GGA-PBE, relaxed)" raw_formation_energy_ev_per_atom=-0.223 pbc="T T T"
Si 1.3085 -0.6616 1.9096
Be -1.2941 -1.3035 6.6271
Be -0.6472 -0.6519 3.3143
Ni -0.0480 1.2940 2.0293

(12)
16
Lattice="7.9083 -0.0050 0.0411 -2.3133 7.5624 0.0411 -2.2728 -3.0700 9.3449" Properties=species:S:1:pos:R:3 comment="RbMgHgBr5 (GGA-PBE, relaxed)" raw_formation_energy_ev_per_atom=-1.145 pbc="T T T"
Br 1.1283 2.8227 8.9258
Br 6.3034 2.0320 0.8723
Br -2.2344 6.3158 2.3773
Br 5.5566 -1.8284 7.0498
Br -2.9812 2.4554 8.5549
Mg 0.0000 0.0000 0.0000
Br 3.5068 3.4381 4.2534
Hg 4.1360 1.5996 2.3773
Br 4.3551 -0.5996 3.8824
Br 2.1939 1.6647 0.5013
Rb 0.5927 4.2228 2.3773
Br -0.1846 1.0493 5.1737
Mg -1.1364 -1.5350 4.6725
Rb 2.7295 0.2646 7.0498
Br -1.0330 5.0870 5.5447
Hg -0.8138 2.8878 7.0498

(13)
13
Lattice="-3.6562 -3.3973 3.0054 -3.2394 -2.4088 -6.6637 8.5065 -6.6428 2.8205" Properties=species:S:1:pos:R:3 comment="La3Nd8Sm2 (GGA-PBE, relaxed)" relative_energy_mev_per_atom=64 formation_enthalpy_0k_mev_per_atom=211 pbc="T T T"
Nd 3.3983 -6.9279 -3.7023
Sm 0.1049 -6.9621 -2.0890
Nd 2.9004 -8.3573 -0.2882
Sm 1.5060 -5.4866 1.2512
Nd 4.2512 -7.3528 2.4905
La -2.2901 -1.7029 -4.7110
Nd -1.2894 -4.0915 -0.5496
Nd 0.8298 -8.5008 2.6694
Nd -1.7874 -5.5208 2.8645
Nd -2.6402 -5.0959 -3.3283
La -0.9493 -0.7059 -1.9527
Nd 0.7811 -3.9479 -3.5072
La -1.8281 -1.6986 1.5027

(14)
7
Lattice="4.2816 0.0000 0.0000 0.0000 4.2816 0.0000 2.1408 2.1408 7.2802" Properties=species:S:1:pos:R:3 comment="Y2Co4Se (GGA-PBE, relaxed)" raw_formation_energy_ev_per_atom=0.251 pbc="T T T"
Co 4.2816 4.2816 2.2118
Co 0.0000 2.1408 0.0000
Y 2.1408 2.1408 2.2552
Se 0.0000 0.0000 0.0000
Y 4.2816 4.2816 5.0249
Co 2.1408 2.1408 5.0683
Co 2.1408 0.0000 0.0000

| no. | DFT total energy (eV per atom) | DOS at the Fermi energy (states/eV per cell) |
| --- | --- | --- |
| 1 | -3.305 | 2.2 |
| 2 | -5.597 | 1.7 |
| 3 | -4.160 | 12.5 |
| 4 | -3.444 | 2.4 |
| 5 | -9.164 | 10.4 |
| 6 | -4.931 | 8.2 |
| 7 | -8.004 | 5.7 |
| 8 | -6.923 | 3.3 |
| 9 | -8.604 | 1.6 |
| 10 | -2.352 | 3.8 |
| 11 | -4.887 | 1.1 |
| 12 | -2.549 | 0.0 |
| 13 | -4.586 | 21.7 |
| 14 | -6.154 | 7.6 |